# Mg8In5Ag (PBE, optimized geometry)
data_Mg8In5Ag
_symmetry_space_group_name_H-M 'P 1'
_symmetry_Int_Tables_number 1
_cell_length_a 7.576
_cell_length_b 7.576
_cell_length_c 7.576
_cell_angle_alpha 111.77
_cell_angle_beta 111.77
_cell_angle_gamma 104.96
loop_
_symmetry_equiv_pos_as_xyz
'x,y,z'
loop_
_atom_site_label
_atom_site_type_symbol
_atom_site_fract_x
_atom_site_fract_y
_atom_site_fract_z
Mg1 Mg 0.162 0.419 0.592
Mg2 Mg 0.341 0.226 0.267
Mg3 Mg 0.430 0.838 0.256
Mg4 Mg 0.581 0.173 0.744
Mg5 Mg 0.774 0.041 0.115
Mg6 Mg 0.827 0.570 0.408
Mg7 Mg 0.927 0.659 0.885
Mg8 Mg 0.959 0.073 0.733
In1 In 0.072 0.452 0.158
In2 In 0.086 0.928 0.380
In3 In 0.294 0.914 0.842
In4 In 0.500 0.500 0.000
In5 In 0.548 0.706 0.620
Ag1 Ag 0.750 0.250 0.500
# ΔE_f ... -0.047 eV per atom